## A
## PaZn9Cu2 (GGA-PBE)

Data for a relaxed structure of PaZn9Cu2.

Computed properties:
For the magnetization, the calculation gives 0.070 μB per atom. The space group is I4_1/amd (141).

extended XYZ file:
```
24
Lattice="-5.216 5.216 3.372 5.216 -5.216 3.372 5.216 5.216 -3.372" Properties=species:S:1:pos:R:3 pbc="T T T"
Pa 5.216 2.608 0.843
Pa 0.000 2.608 2.529
Zn 5.216 -2.608 2.529
Zn 3.953 -0.482 1.215
Zn 6.478 -0.482 1.215
Zn 2.125 1.346 0.471
Zn 8.306 1.346 0.471
Zn 3.953 4.733 -1.215
Zn 1.262 -0.482 2.157
Zn 2.125 3.870 0.471
Zn 3.090 -1.346 3.843
Zn 2.125 6.561 -0.471
Zn 3.090 1.346 2.901
Zn 3.953 5.698 1.215
Zn 1.262 0.482 4.588
Zn -3.090 3.870 2.901
Zn 3.090 3.870 2.901
Zn -1.262 5.698 2.157
Zn 1.262 5.698 2.157
Zn 0.000 7.823 0.843
Cu 0.000 0.000 0.000
Cu 2.608 2.608 -1.686
Cu 2.608 -2.608 1.686
Cu 0.000 5.216 0.000
```



## B
## PaZn9Cu2 (GGA-PBE)

Data for a relaxed structure of PaZn9Cu2.

Computed properties:
For the magnetization, the calculation gives 0.018 μB per atom. The space group is P6/mmm (191).

extended XYZ file:
```
12
Lattice="8.512 0.000 0.000 -4.256 7.372 0.000 0.000 0.000 2.997" Properties=species:S:1:pos:R:3 pbc="T T T"
Pa 0.000 0.000 0.000
Zn -2.128 3.686 0.000
Zn 0.000 2.761 1.498
Zn -1.865 5.991 1.498
Zn 2.391 1.380 1.498
Zn 4.256 0.000 0.000
Zn 2.128 3.686 0.000
Zn 1.865 5.991 1.498
Zn 6.121 1.380 1.498
Zn 4.256 4.611 1.498
Cu 0.000 4.914 0.000
Cu 4.256 2.457 0.000
```



The most stable of them is A.



## A
## Zr2PaCu (GGA-PBE)

Data for a relaxed structure of Zr2PaCu.

Computed properties:
For the magnetization, the calculation gives 0.000 μB per atom. The space group is F-43m (216).

extended XYZ file:
```
4
Lattice="0.000 3.478 3.478 3.478 0.000 3.478 3.478 3.478 0.000" Properties=species:S:1:pos:R:3 pbc="T T T"
Zr 0.000 0.000 0.000
Zr 1.739 1.739 1.739
Pa 5.217 5.217 5.217
Cu 3.478 3.478 3.478
```



## B
## Zr2PaCu (GGA-PBE)

Data for a relaxed structure of Zr2PaCu.

Computed properties:
For the magnetization, the calculation gives 0.000 μB per atom. The space group is R-3m (166).

extended XYZ file:
```
4
Lattice="1.540 0.889 10.503 -1.540 0.889 10.503 0.000 -1.778 10.503" Properties=species:S:1:pos:R:3 pbc="T T T"
Zr 0.000 0.000 3.041
Zr 0.000 0.000 28.467
Pa 0.000 0.000 0.000
Cu 0.000 0.000 15.754
```



## C
## Zr2PaCu (GGA-PBE)

Data for a relaxed structure of Zr2PaCu.

Computed properties:
For the magnetization, the calculation gives 0.000 μB per atom. The space group is P4/mmm (123).

extended XYZ file:
```
4
Lattice="3.510 0.000 0.000 0.000 3.510 0.000 0.000 0.000 6.655" Properties=species:S:1:pos:R:3 pbc="T T T"
Zr 0.000 0.000 1.548
Zr 0.000 0.000 5.107
Pa 1.755 1.755 3.327
Cu 1.755 1.755 0.000
```



The most stable of them is C.



## A
## ZrPaCu2 (GGA-PBE)

Data for a relaxed structure of ZrPaCu2.

Computed properties:
For the magnetization, the calculation gives 0.001 μB per atom. The space group is Fm-3m (225).

extended XYZ file:
```
4
Lattice="0.000 3.361 3.361 3.361 0.000 3.361 3.361 3.361 0.000" Properties=species:S:1:pos:R:3 pbc="T T T"
Zr 0.000 0.000 0.000
Pa 3.361 3.361 3.361
Cu 1.681 1.681 1.681
Cu 5.042 5.042 5.042
```



## B
## ZrPaCu2 (GGA-PBE)

Data for a relaxed structure of ZrPaCu2.

Computed properties:
For the magnetization, the calculation gives 0.000 μB per atom. The space group is P4/mmm (123).

extended XYZ file:
```
4
Lattice="4.262 0.000 0.000 0.000 4.262 0.000 0.000 0.000 4.049" Properties=species:S:1:pos:R:3 pbc="T T T"
Zr 0.000 0.000 0.000
Pa 2.131 2.131 0.000
Cu 0.000 2.131 2.025
Cu 2.131 0.000 2.025
```



## C
## ZrPaCu2 (GGA-PBE)

Data for a relaxed structure of ZrPaCu2.

Computed properties:
For the magnetization, the calculation gives 0.000 μB per atom. The space group is P4/mmm (123).

extended XYZ file:
```
4
Lattice="3.034 0.000 0.000 0.000 3.034 0.000 0.000 0.000 7.949" Properties=species:S:1:pos:R:3 pbc="T T T"
Zr 0.000 0.000 0.000
Pa 0.000 0.000 3.974
Cu 1.517 1.517 1.903
Cu 1.517 1.517 6.046
```



The most stable of them is C.



## A
## Cu4Pb (GGA-PBE)

Data for a relaxed structure of Cu4Pb.

Computed properties:
For the magnetization, the calculation gives 0.000 μB per atom. The space group is Pm-3m (221).

extended XYZ file:
```
5
Lattice="4.907 0.000 0.000 0.000 4.907 0.000 0.000 0.000 4.907" Properties=species:S:1:pos:R:3 pbc="T T T"
Cu 0.000 0.000 0.000
Cu 0.000 2.453 2.453
Cu 2.453 0.000 2.453
Cu 2.453 2.453 0.000
Pb 2.453 2.453 2.453
```



## B
## Cu4Pb (GGA-PBE)

Data for a relaxed structure of Cu4Pb.

Computed properties:
For the magnetization, the calculation gives 0.000 μB per atom. The space group is I4/m (87).

extended XYZ file:
```
5
Lattice="-3.355 3.355 1.672 3.355 -3.355 1.672 3.355 3.355 -1.672" Properties=species:S:1:pos:R:3 pbc="T T T"
Cu 4.467 0.777 0.000
Cu 0.777 2.242 0.000
Cu 2.578 1.113 1.672
Cu -1.113 2.578 1.672
Pb 0.000 0.000 1.672
```



The most stable of them is B.



## A
## Cu3Pb5 (GGA-PBE)

Data for a relaxed structure of Cu3Pb5.

Computed properties:
For the magnetization, the calculation gives 0.000 μB per atom. The space group is P6_3/mcm (193).

extended XYZ file:
```
16
Lattice="8.152 0.000 0.000 -4.076 7.060 0.000 0.000 0.000 6.857" Properties=species:S:1:pos:R:3 pbc="T T T"
Cu -1.595 2.763 1.714
Cu -2.481 4.297 5.143
Cu 3.191 0.000 1.714
Cu 1.595 2.763 5.143
Cu 4.961 0.000 5.143
Cu 2.481 4.297 1.714
Pb -1.042 1.804 5.143
Pb -3.034 5.256 1.714
Pb 2.083 0.000 5.143
Pb 1.042 1.804 1.714
Pb 0.000 4.707 0.000
Pb 0.000 4.707 3.429
Pb 4.076 2.353 0.000
Pb 4.076 2.353 3.429
Pb 6.069 0.000 1.714
Pb 3.034 5.256 5.143
```



## B
## Cu3Pb5 (GGA-PBE)

Data for a relaxed structure of Cu3Pb5.

Computed properties:
For the magnetization, the calculation gives 0.000 μB per atom. The space group is Cmmm (65).

extended XYZ file:
```
8
Lattice="4.886 -5.769 0.000 4.886 5.769 0.000 0.000 0.000 3.593" Properties=species:S:1:pos:R:3 pbc="T T T"
Cu 0.000 0.000 0.000
Cu 4.886 3.794 1.796
Cu 4.886 -3.794 1.796
Pb 2.443 2.884 0.000
Pb 2.120 0.000 1.796
Pb 2.443 -2.884 0.000
Pb 4.886 0.000 0.000
Pb 7.653 0.000 1.796
```



The most stable of them is A.



## A
## CuPdPb (GGA-PBE)

Data for a relaxed structure of CuPdPb.

Computed properties:
For the magnetization, the calculation gives 0.000 μB per atom. The space group is I4mm (107).

extended XYZ file:
```
3
Lattice="-1.734 1.734 4.506 1.734 -1.734 4.506 1.734 1.734 -4.506" Properties=species:S:1:pos:R:3 pbc="T T T"
Cu 0.000 0.000 0.000
Pd 0.000 0.000 5.706
Pb 0.000 0.000 2.847
```



## B
## CuPdPb (GGA-PBE)

Data for a relaxed structure of CuPdPb.

Computed properties:
For the magnetization, the calculation gives 0.000 μB per atom. The space group is Cmmm (65).

extended XYZ file:
```
6
Lattice="2.411 -2.422 0.000 2.411 2.422 0.000 0.000 0.000 9.354" Properties=species:S:1:pos:R:3 pbc="T T T"
Cu 0.000 0.000 1.232
Cu 0.000 0.000 8.123
Pd 0.000 0.000 4.677
Pd 2.411 0.000 0.000
Pb 2.411 0.000 2.902
Pb 2.411 0.000 6.453
```



The most stable of them is A.